Entry 1:
The following is a PBE calculation of a relaxed structure of Fe2CuNi6, from Alexandria via LeMat-Bulk.

Cell lengths 3.5636, 4.3245, 7.5643 Å; angles 72.61, 76.38, 65.67 degrees
Closest atoms and distances in Å follow each position.
Fractional coordinates of all 9 atoms:
Ni1 0.3342 0.2770 0.0546  3 Fe 2.48-2.50, 9 Ni 2.49-2.51
Cu1 0.0000 0.5000 0.5000  8 Ni 2.50-2.52, 4 Fe 2.55
Ni2 0.0018 0.8315 0.1649  3 Fe 2.48-2.51, 8 Ni 2.49-2.53, 1 Cu 2.51
Fe1 0.3277 0.6181 0.7266  10 Ni 2.48-2.53, 2 Cu 2.55
Ni3 0.6649 0.0581 0.6120  4 Fe 2.49-2.53, 3 Cu 2.50-2.52, 5 Ni 2.51-2.54
Fe2 0.6723 0.3819 0.2734  10 Ni 2.48-2.53, 2 Cu 2.55
Ni4 0.9982 0.1685 0.8351  3 Fe 2.48-2.51, 8 Ni 2.49-2.53, 1 Cu 2.51
Ni5 0.6658 0.7230 0.9454  3 Fe 2.48-2.50, 9 Ni 2.49-2.51
Ni6 0.3351 0.9419 0.3880  4 Fe 2.49-2.53, 3 Cu 2.50-2.52, 5 Ni 2.51-2.54

Calculated values
symmetry = C2/m (12)
calculated formation energy = -0.4 eV per formula unit

=====

Entry 2:
The following is a PBE calculation of a relaxed structure of LiFeOs2, from Alexandria via LeMat-Bulk.

Cell lengths 2.7072, 2.7072, 7.4930 Å; angles 90.00, 90.00, 90.00 degrees
Closest atoms and distances in Å follow each position.
Fractional coordinates of all 4 atoms:
Li1 0.5000 0.5000 0.7480  4 Fe 2.69, 4 Li 2.71, 4 Os 2.72
Os1 0.5000 0.5000 0.2495  8 Os 2.64-2.71, 4 Fe 2.66
Fe1 0.0000 0.0000 0.4958  4 Os 2.66, 4 Li 2.69, 4 Fe 2.71
Os2 0.0000 0.0000 0.0068  8 Os 2.64-2.71, 4 Li 2.72

Calculated values
symmetry = P4mm (99)
calculated formation energy = 1.3 eV per formula unit
energy above the most stable polymorph in this dataset = 164 meV/atom

=====

Entry 3:
The following is a PBE calculation of a relaxed structure of TbThPa2P4, from Alexandria via LeMat-Bulk.

Cell lengths 4.0290, 6.9654, 6.9763 Å; angles 70.46, 90.00, 90.00 degrees
Closest atoms and distances in Å follow each position.
Fractional coordinates of all 8 atoms:
Pa1 0.0000 0.0000 0.0000  6 P 2.79
Pa2 0.5000 0.0000 0.5000  6 P 2.82-2.83
P1 0.0000 0.7587 0.7510  3 Pa 2.79-2.83, 2 Tb 2.87, 1 Th 2.90
P2 0.5000 0.7606 0.2421  3 Pa 2.79-2.83, 1 Tb 2.86, 2 Th 2.90
P3 0.5000 0.2394 0.7579  3 Pa 2.79-2.83, 1 Tb 2.86, 2 Th 2.90
Tb1 0.5000 0.5000 0.0000  6 P 2.86-2.87
Th1 0.0000 0.5000 0.5000  6 P 2.90
P4 0.0000 0.2413 0.2490  3 Pa 2.79-2.83, 2 Tb 2.87, 1 Th 2.90

Calculated values
symmetry = P2/m (10)
calculated formation energy = -11.5 eV per formula unit

=====

Entry 4:
The following is a PBE calculation of a relaxed structure of Tb12Pd6Pb, from Alexandria via LeMat-Bulk.

Cell lengths 8.6909, 8.6909, 8.6909 Å; angles 109.47, 109.47, 109.47 degrees
Closest atoms and distances in Å follow each position.
Fractional coordinates of all 19 atoms:
Tb1 0.5165 0.8154 0.7011  1 Pd 2.70
Tb2 0.1846 0.7011 0.8856  1 Pd 2.70
Tb3 0.7011 0.5165 0.8154  1 Pd 2.70
Tb4 0.1144 0.8154 0.2989  1 Pd 2.70
Pb1 0.0000 0.0000 0.0000  12 Tb 3.53
Pd1 0.6360 0.5000 0.1360  2 Tb 2.70, 1 Pd 2.73
Tb5 0.8154 0.2989 0.1144  1 Pd 2.70
Pd2 0.5000 0.1360 0.6360  2 Tb 2.70, 1 Pd 2.73
Tb6 0.4835 0.1846 0.2989  1 Pd 2.70
Tb7 0.8154 0.7011 0.5165  1 Pd 2.70
Pd3 0.5000 0.8640 0.3640  2 Tb 2.70, 1 Pd 2.73
Tb8 0.7011 0.8856 0.1846  1 Pd 2.70
Tb9 0.8856 0.1846 0.7011  1 Pd 2.70
Pd4 0.1360 0.6360 0.5000  2 Tb 2.70, 1 Pd 2.73
Pd5 0.3640 0.5000 0.8640  2 Tb 2.70, 1 Pd 2.73
Tb10 0.2989 0.4835 0.1846  1 Pd 2.70
Pd6 0.8640 0.3640 0.5000  2 Tb 2.70, 1 Pd 2.73
Tb11 0.1846 0.2989 0.4835  1 Pd 2.70
Tb12 0.2989 0.1144 0.8154  1 Pd 2.70

Calculated values
symmetry = Im-3 (204)
calculated formation energy = -11.8 eV per formula unit

=====

Entry 5:
The following is a PBE calculation of a relaxed structure of RbLa2FeNi, from Alexandria via LeMat-Bulk.

Cell lengths 5.1138, 5.7797, 5.1138 Å; angles 90.00, 90.00, 90.00 degrees
Closest atoms and distances in Å follow each position.
Fractional coordinates of all 5 atoms:
Fe1 0.0000 0.0000 0.0000  4 La 2.56
La1 0.0000 0.0000 0.5000  2 Fe 2.56
La2 0.5000 0.0000 0.0000  2 Fe 2.56
Ni1 0.5000 0.5000 0.5000  4 Rb 3.62, 8 La 3.86
Rb1 0.0000 0.5000 0.0000  2 Fe 2.89

Calculated values
symmetry = P4/mmm (123)
calculated formation energy = 3.7 eV per formula unit

=====

Entry 6:
The following is a PBE calculation of a relaxed structure of Ac2Tb15Tm2, from Alexandria via LeMat-Bulk.

Cell lengths 8.7911, 8.7911, 8.7911 Å; angles 79.63, 79.63, 79.63 degrees
Closest atoms and distances in Å follow each position.
Fractional coordinates of all 19 atoms:
Tb1 0.1572 0.6261 0.6261  6 Tb 3.23-3.40
Tm1 0.6717 0.6717 0.6717  1 Ac 3.85, 12 Tb 3.91-4.17
Tb2 0.6924 0.3076 0.0000  6 Tb 3.26-3.46
Tb3 0.8428 0.3739 0.3739  6 Tb 3.23-3.40
Tm2 0.3283 0.3283 0.3283  1 Ac 3.85, 12 Tb 3.91-4.17
Tb4 0.0000 0.6924 0.3076  6 Tb 3.26-3.46
Ac1 0.8883 0.8883 0.8883  6 Tb 3.39-3.77
Tb5 0.0000 0.0000 0.5000  2 Ac 3.39, 8 Tb 3.40-3.44
Tb6 0.3739 0.8428 0.3739  6 Tb 3.23-3.40
Tb7 0.6924 0.0000 0.3076  6 Tb 3.26-3.46
Tb8 0.6261 0.6261 0.1572  6 Tb 3.23-3.40
Tb9 0.0000 0.3076 0.6924  6 Tb 3.26-3.46
Ac2 0.1117 0.1117 0.1117  6 Tb 3.39-3.77
Tb10 0.3739 0.3739 0.8428  6 Tb 3.23-3.40
Tb11 0.3076 0.0000 0.6924  6 Tb 3.26-3.46
Tb12 0.6261 0.1572 0.6261  6 Tb 3.23-3.40
Tb13 0.3076 0.6924 0.0000  6 Tb 3.26-3.46
Tb14 0.0000 0.5000 0.0000  2 Ac 3.39, 8 Tb 3.40-3.44
Tb15 0.5000 0.0000 0.0000  2 Ac 3.39, 8 Tb 3.40-3.44

Calculated values
symmetry = R-3m (166)
calculated formation energy = 5.8 eV per formula unit

=====

Entry 7:
The following is a PBE calculation of a relaxed structure of CrHgRu2, from Alexandria via LeMat-Bulk.

Cell lengths 4.4711, 4.4711, 4.4711 Å; angles 60.00, 60.00, 60.00 degrees
Closest atoms and distances in Å follow each position.
Fractional coordinates of all 4 atoms:
Hg1 0.7500 0.7500 0.7500  4 Cr 2.74, 4 Ru 2.74
Ru1 0.0000 0.0000 0.0000  4 Hg 2.74, 4 Ru 2.74
Cr1 0.5000 0.5000 0.5000  4 Hg 2.74, 4 Ru 2.74
Ru2 0.2500 0.2500 0.2500  4 Ru 2.74, 4 Cr 2.74

Calculated values
symmetry = F-43m (216)
calculated formation energy = 2.6 eV per formula unit

=====

Entry 8:
The following is a PBE calculation of a relaxed structure of YSiIr2, from Alexandria via LeMat-Bulk.

Cell lengths 2.9953, 2.9953, 7.2734 Å; angles 90.00, 90.00, 90.00 degrees
Closest atoms and distances in Å follow each position.
Fractional coordinates of all 4 atoms:
Si1 0.5000 0.5000 0.2500  8 Ir 2.56
Ir1 0.0000 0.0000 0.0532  4 Si 2.56, 1 Ir 2.86
Ir2 0.0000 0.0000 0.4468  4 Si 2.56, 1 Ir 2.86
Y1 0.5000 0.5000 0.7500  4 Y 3.00, 8 Ir 3.06

Calculated values
symmetry = P4/mmm (123)
formation energy (no corrections) = -2.693 eV/f.u.

=====

Entry 9:
The following is a PBE calculation of a relaxed structure of K3Tl2, from Alexandria via LeMat-Bulk.

Cell lengths 8.1399, 8.1399, 9.6888 Å; angles 65.16, 65.16, 60.00 degrees
Closest atoms and distances in Å follow each position.
Fractional coordinates of all 10 atoms:
K1 0.1784 0.7500 0.7500  4 Tl 3.66-3.79
Tl1 0.8088 0.8088 0.5735  1 Tl 2.99
K2 0.8216 0.2500 0.2500  4 Tl 3.66-3.79
K3 0.6784 0.8216 0.2500  4 Tl 3.66-3.79
K4 0.3216 0.1784 0.7500  4 Tl 3.66-3.79
K5 0.2500 0.6784 0.2500  4 Tl 3.66-3.79
K6 0.7500 0.3216 0.7500  4 Tl 3.66-3.79
Tl2 0.6912 0.6912 0.9265  1 Tl 2.99
Tl3 0.1912 0.1912 0.4265  1 Tl 2.99
Tl4 0.3088 0.3088 0.0735  1 Tl 2.99

Calculated values
symmetry = R-3c (167)
calculated formation energy = 0.0 eV per formula unit
energy above the most stable polymorph in this dataset = 43 meV/atom

=====

Entry 10:
The following is a PBE calculation of a relaxed structure of ThZnGa2Au2, from Alexandria via LeMat-Bulk.

Cell lengths 4.4571, 4.4571, 6.9092 Å; angles 90.00, 90.00, 120.00 degrees
Closest atoms and distances in Å follow each position.
Fractional coordinates of all 6 atoms:
Au1 0.6667 0.3333 0.6905  3 Ga 2.59, 3 Zn 2.89
Ga1 0.3333 0.6667 0.7318  3 Au 2.59
Zn1 0.0000 0.0000 0.5000  6 Au 2.89, 6 Ga 3.03
Ga2 0.6667 0.3333 0.2682  3 Au 2.59
Th1 0.0000 0.0000 0.0000  6 Ga 3.17, 6 Au 3.35, 2 Zn 3.45
Au2 0.3333 0.6667 0.3095  3 Ga 2.59, 3 Zn 2.89

Calculated values
symmetry = P-3m1 (164)
calculated formation energy = -2.7 eV per formula unit

=====

| no. | DOS at the Fermi energy (states/eV/cell) |
| --- | --- |
| 1 | 8.3 |
| 2 | 4.0 |
| 3 | 6.9 |
| 4 | 16.8 |
| 5 | 5.5 |
| 6 | 31.5 |
| 7 | 3.9 |
| 8 | 2.0 |
| 9 | 9.6 |
| 10 | 2.8 |